1) Density functional theory data (GGA-PBE) for an optimized crystal structure of La2Pr8Tm.

Computed properties:
The calculation puts the density of states at the Fermi level at 27.0 states/eV/cell. The total moment comes out at 0.000 μB per cell.

Lattice parameters (Å, degrees): 17.962 7.051 6.557 90.00 109.43 90.00
Space group C2/m (No. 12)
Unique sites:
La  0.211  0.000  0.113 [4 per cell]
Pr  0.058  0.000  0.254 [4 per cell]
Pr  0.102  0.271  0.685 [8 per cell]
Pr  0.206  0.500  0.315 [4 per cell]
Tm  0.000  0.500  0.000 [2 per cell]

=====

2) Density functional theory data (GGA-PBE) for an optimized crystal structure of La2Pr8Tm.

Computed properties:
The calculation puts the density of states at the Fermi level at 37.2 states/eV/cell. The total moment comes out at 0.000 μB per cell.

Lattice parameters (Å, degrees): 18.856 5.243 8.266 90.00 105.19 90.00
Space group C2/m (No. 12)
Unique sites:
La  0.227  0.000  0.136 [4 per cell]
Pr  0.045  0.000  0.230 [4 per cell]
Pr  0.090  0.500  0.950 [4 per cell]
Pr  0.135  0.000  0.678 [4 per cell]
Pr  0.180  0.500  0.408 [4 per cell]
Tm  0.000  0.500  0.500 [2 per cell]

=====

Q: Which of them is the most stable? A: 2).

=====

1) Density functional theory data (GGA-PBE) for an optimized crystal structure of LaPrTm2.

Computed properties:
The calculation puts the density of states at the Fermi level at 24.0 states/eV/cell. The total moment comes out at 0.000 μB per cell.

Lattice parameters (Å, degrees): 5.670 10.277 9.970 90.00 103.06 90.00
Space group C2/c (No. 15)
Unique sites:
La  0.000  0.038  0.250 [4 per cell]
Pr  0.000  0.295  0.750 [4 per cell]
Tm  0.064  0.368  0.412 [8 per cell]

=====

2) Density functional theory data (GGA-PBE) for an optimized crystal structure of LaPrTm2.

Computed properties:
The calculation puts the density of states at the Fermi level at 18.1 states/eV/cell. The total moment comes out at 0.001 μB per cell.

Lattice parameters (Å, degrees): 3.6251 3.6251 35.0206 90.00 90.00 120.00
Space group R3m (No. 160, hexagonal axes)
Unique sites:
La  0.0000  0.0000  0.0000 [3 per cell]
Pr  0.0000  0.0000  0.8341 [3 per cell]
Tm  0.0000  0.0000  0.4165 [3 per cell]
Tm  0.0000  0.0000  0.5837 [3 per cell]

=====

3) Density functional theory data (GGA-PBE) for an optimized crystal structure of LaPrTm2.

Computed properties:
The calculation puts the density of states at the Fermi level at 6.0 states/eV/cell. The total moment comes out at 0.000 μB per cell.

Lattice parameters (Å, degrees): 5.187 5.187 4.939 90.00 90.00 90.00
Space group P4/mmm (No. 123)
Unique sites:
La  0.000  0.000  0.000 [1 per cell]
Pr  0.500  0.500  0.000 [1 per cell]
Tm  0.000  0.500  0.500 [2 per cell]

=====

4) Density functional theory data (GGA-PBE) for an optimized crystal structure of LaPrTm2.

Computed properties:
The calculation puts the density of states at the Fermi level at 13.5 states/eV/cell. The total moment comes out at 0.000 μB per cell.

Lattice parameters (Å, degrees): 3.6229 3.6229 34.8412 90.00 90.00 120.00
Space group R-3m (No. 166, hexagonal axes)
Unique sites:
La  0.0000  0.0000  0.0000 [3 per cell]
Pr  0.0000  0.0000  0.5000 [3 per cell]
Tm  0.0000  0.0000  0.2496 [6 per cell]

=====

Q: Which of them is the most stable? A: 4).